[1]
Density functional theory data (PBE) for CaAc4Nd2 after structural relaxation.

**Size of the total moment**: 0.96 μB per formula unit
**Energy above the lowest structure with this stoichiometry**: 3.896 eV per formula unit
**ΔE_f**: 686 meV/atom

Cell lengths 6.121, 6.121, 9.913 Å; angles 107.98, 107.98, 90.00 degrees
Sites, in units of the cell vectors:
Ac 0.000 0.500 0.000
Ac 0.811 0.811 0.622
Ac 0.189 0.189 0.378
Ac 0.500 0.000 0.000
Nd 0.392 0.392 0.783
Nd 0.608 0.608 0.217
Ca 0.000 0.000 0.000

***

[2]
Density functional theory data (PBE) for CaAc4Nd5 after structural relaxation.

**Size of the total moment**: 0.00 μB per formula unit
**ΔE_f**: 40 meV/atom

Cell lengths 5.491, 11.326, 10.084 Å; angles 40.82, 74.20, 75.97 degrees
Sites, in units of the cell vectors:
Ac 0.199 0.398 0.203
Ac 0.801 0.602 0.797
Ac 0.600 0.200 0.600
Ac 0.400 0.800 0.400
Nd 0.000 0.500 0.500
Nd 0.398 0.310 0.894
Nd 0.798 0.104 0.299
Nd 0.202 0.896 0.701
Nd 0.602 0.690 0.106
Ca 0.000 0.000 0.000

***

[3]
Density functional theory data (PBE) for CaAc8Nd4 after structural relaxation.

**Size of the total moment**: 0.00 μB per formula unit
**ΔE_f**: 404 meV/atom

Cell lengths 11.950, 11.950, 8.444 Å; angles 90.00, 135.04, 120.00 degrees
Sites, in units of the cell vectors:
Ac 0.521 0.761 0.762
Ac 0.999 0.239 0.238
Ac 0.001 0.761 0.762
Ac 0.999 0.760 0.238
Ac 0.001 0.240 0.762
Ac 0.479 0.239 0.718
Ac 0.521 0.761 0.282
Ac 0.479 0.239 0.238
Nd 0.000 0.000 0.000
Nd 0.500 0.500 0.000
Nd 0.500 0.000 0.000
Nd 0.000 0.500 0.000
Ca 0.000 0.500 0.500

***

[4]
Density functional theory data (PBE) for Ca2Ac3Nd after structural relaxation.

**Size of the total moment**: 0.00 μB per formula unit
**ΔE_f**: 81 meV/atom

Cell lengths 7.165, 7.165, 11.028 Å; angles 91.37, 91.37, 116.52 degrees
Sites, in units of the cell vectors:
Nd 0.906 0.094 0.250
Nd 0.094 0.906 0.750
Ac 0.292 0.068 0.055
Ac 0.932 0.708 0.445
Ac 0.377 0.623 0.250
Ac 0.708 0.932 0.945
Ac 0.068 0.292 0.555
Ac 0.623 0.377 0.750
Ca 0.530 0.824 0.607
Ca 0.824 0.530 0.107
Ca 0.470 0.176 0.393
Ca 0.176 0.470 0.893

***

[5]
Density functional theory data (PBE) for Ca3Ac5Nd12 after structural relaxation.

**Size of the total moment**: 0.00 μB per formula unit
**ΔE_f**: 948 meV/atom

Cell lengths 17.227, 17.227, 17.227 Å; angles 109.47, 109.47, 109.47 degrees
Sites, in units of the cell vectors:
Nd 0.768 0.416 0.353
Nd 0.584 0.853 0.437
Nd 0.732 0.584 0.147
Nd 0.937 0.853 0.584
Nd 0.937 0.084 0.853
Nd 0.768 0.353 0.916
Nd 0.268 0.853 0.916
Nd 0.353 0.584 0.437
Nd 0.063 0.916 0.147
Nd 0.853 0.584 0.937
Nd 0.416 0.768 0.853
Nd 0.232 0.647 0.084
Nd 0.563 0.916 0.647
Nd 0.416 0.268 0.353
Nd 0.147 0.732 0.584
Nd 0.353 0.437 0.084
Nd 0.084 0.437 0.853
Nd 0.916 0.353 0.268
Nd 0.584 0.732 0.647
Nd 0.147 0.063 0.916
Nd 0.416 0.647 0.063
Nd 0.563 0.647 0.416
Nd 0.853 0.937 0.084
Nd 0.584 0.232 0.147
Nd 0.647 0.232 0.584
Nd 0.853 0.268 0.416
Nd 0.084 0.147 0.232
Nd 0.437 0.353 0.584
Nd 0.063 0.147 0.416
Nd 0.647 0.563 0.916
Nd 0.647 0.084 0.232
Nd 0.916 0.063 0.647
Nd 0.353 0.916 0.768
Nd 0.853 0.916 0.268
Nd 0.353 0.768 0.416
Nd 0.084 0.647 0.732
Nd 0.232 0.584 0.647
Nd 0.732 0.147 0.084
Nd 0.147 0.084 0.732
Nd 0.416 0.147 0.563
Nd 0.916 0.563 0.147
Nd 0.647 0.416 0.563
Nd 0.147 0.416 0.063
Nd 0.584 0.353 0.937
Nd 0.268 0.416 0.853
Nd 0.437 0.084 0.353
Nd 0.084 0.937 0.353
Nd 0.916 0.853 0.768
Ca 0.750 0.875 0.625
Ca 0.250 0.625 0.875
Ca 0.625 0.375 0.750
Ca 0.875 0.125 0.250
Ca 0.125 0.875 0.750
Ca 0.375 0.750 0.625
Ca 0.750 0.375 0.125
Ca 0.375 0.625 0.250
Ca 0.125 0.250 0.875
Ca 0.875 0.750 0.125
Ca 0.250 0.125 0.375
Ca 0.625 0.250 0.375
Ac 0.000 0.000 0.000
Ac 0.750 0.625 0.375
Ac 0.625 0.875 0.250
Ac 0.125 0.750 0.375
Ac 0.625 0.750 0.875
Ac 0.125 0.375 0.250
Ac 0.250 0.375 0.625
Ac 0.500 0.500 0.000
Ac 0.375 0.250 0.125
Ac 0.500 0.000 0.500
Ac 0.250 0.875 0.125
Ac 0.500 0.000 0.000
Ac 0.000 0.000 0.500
Ac 0.000 0.500 0.000
Ac 0.875 0.250 0.625
Ac 0.500 0.500 0.500
Ac 0.000 0.500 0.500
Ac 0.375 0.125 0.750
Ac 0.750 0.125 0.875
Ac 0.875 0.625 0.750

***

[6]
Density functional theory data (PBE) for CaAc2Nd after structural relaxation.

**Size of the total moment**: 0.00 μB per formula unit
**Energy above the lowest structure with this stoichiometry**: 0.100 eV per formula unit
**ΔE_f**: 51 meV/atom

Cell lengths 5.256, 5.589, 5.589 Å; angles 90.00, 90.00, 90.00 degrees
Sites, in units of the cell vectors:
Ca 0.500 0.000 0.000
Ac 0.000 0.000 0.500
Ac 0.000 0.500 0.000
Nd 0.500 0.500 0.500

***

[7]
Density functional theory data (PBE) for CaAc2Nd after structural relaxation.

**Size of the total moment**: 0.00 μB per formula unit
**Energy above the lowest structure with this stoichiometry**: 0.506 eV per formula unit
**ΔE_f**: 153 meV/atom

Cell lengths 3.800, 13.682, 13.287 Å; angles 90.00, 90.00, 90.00 degrees
Sites, in units of the cell vectors:
Nd 0.750 0.942 0.901
Nd 0.250 0.058 0.099
Nd 0.250 0.558 0.401
Nd 0.750 0.442 0.599
Ac 0.250 0.676 0.662
Ac 0.750 0.324 0.338
Ac 0.250 0.210 0.557
Ac 0.750 0.790 0.443
Ac 0.750 0.824 0.162
Ac 0.250 0.176 0.838
Ac 0.750 0.290 0.057
Ac 0.250 0.710 0.943
Ca 0.750 0.550 0.146
Ca 0.250 0.450 0.854
Ca 0.250 0.950 0.646
Ca 0.750 0.050 0.354

***

[8]
Density functional theory data (PBE) for Ca4Ac3Nd after structural relaxation.

**Size of the total moment**: 0.00 μB per formula unit
**ΔE_f**: 21 meV/atom

Cell lengths 5.549, 11.023, 11.095 Å; angles 90.00, 90.00, 90.00 degrees
Sites, in units of the cell vectors:
Ac 0.064 0.619 0.252
Ac 0.064 0.619 0.748
Ac 0.564 0.381 0.752
Ac 0.564 0.619 0.000
Ac 0.064 0.381 0.500
Ac 0.564 0.381 0.248
Ca 0.064 0.872 0.500
Ca 0.064 0.125 0.753
Ca 0.064 0.878 0.000
Ca 0.564 0.875 0.747
Ca 0.564 0.128 0.000
Ca 0.564 0.875 0.253
Ca 0.564 0.122 0.500
Ca 0.064 0.125 0.247
Nd 0.064 0.385 0.000
Nd 0.564 0.615 0.500

***

no.,E_tot (eV per atom)
1,-3.310
2,-4.187
3,-3.745
4,-3.435
5,-3.240
6,-3.695
7,-3.594
8,-3.116